VASP calculation (GGA-PBE) on crystalline Hf3ZnHg at its relaxed geometry.

Cell and atoms, written as CIF:
```
data_Hf3ZnHg
_chemical_formula_sum 'Hf3 Zn1 Hg1'
_cell_length_a 4.903
_cell_length_b 4.903
_cell_length_c 4.903
_cell_angle_alpha 90.00
_cell_angle_beta 90.00
_cell_angle_gamma 90.00
_space_group_name_H-M_alt 'P 1'
_space_group_IT_number 1
_space_group_name_Hall 'P 1'
loop_
_atom_site_label
_atom_site_type_symbol
_atom_site_fract_x
_atom_site_fract_y
_atom_site_fract_z
Zn1 Zn 0.000 0.000 0.000
Hg1 Hg 0.500 0.500 0.500
Hf1 Hf 0.000 0.500 0.000
Hf2 Hf 0.500 0.000 0.000
Hf3 Hf 0.000 0.000 0.500
```

Output
Calculated volume = 23.569 A^3/atom
Energy of formation from the pure elements = 0.59 eV/atom
Space group = Pm-3m
Mass density = 11.29 g cm⁻³
Raw total energy = -28.5 eV/f.u.
Offset from the most stable computed form = 505 meV/atom

VASP calculation (GGA-PBE) on crystalline Hf2ZnHg at its relaxed geometry.

Cell and atoms, written as CIF:
```
data_Hf2ZnHg
_chemical_formula_sum 'Hf2 Zn1 Hg1'
_cell_length_a 3.197
_cell_length_b 3.197
_cell_length_c 9.510
_cell_angle_alpha 80.32
_cell_angle_beta 80.32
_cell_angle_gamma 60.00
_space_group_name_H-M_alt 'P 1'
_space_group_IT_number 1
_space_group_name_Hall 'P 1'
loop_
_atom_site_label
_atom_site_type_symbol
_atom_site_fract_x
_atom_site_fract_y
_atom_site_fract_z
Zn1 Zn 0.000 0.000 0.000
Hf1 Hf 0.744 0.744 0.768
Hf2 Hf 0.256 0.256 0.232
Hg1 Hg 0.500 0.500 0.500
```

Output
Calculated volume = 20.638 A^3/atom
Energy of formation from the pure elements = 0.00 eV/atom
Space group = R-3m
Mass density = 12.53 g cm⁻³
Raw total energy = -21.5 eV/f.u.
Offset from the most stable computed form = 82 meV/atom

VASP calculation (GGA-PBE) on crystalline Hf3ZnHg at its relaxed geometry.

Cell and atoms, written as CIF:
```
data_Hf3ZnHg
_chemical_formula_sum 'Hf6 Zn2 Hg2'
_cell_length_a 5.341
_cell_length_b 5.462
_cell_length_c 7.415
_cell_angle_alpha 90.00
_cell_angle_beta 106.38
_cell_angle_gamma 90.00
_space_group_name_H-M_alt 'P 1'
_space_group_IT_number 1
_space_group_name_Hall 'P 1'
loop_
_atom_site_label
_atom_site_type_symbol
_atom_site_fract_x
_atom_site_fract_y
_atom_site_fract_z
Hf1 Hf 0.000 0.500 0.000
Hf2 Hf 0.000 0.000 0.000
Hf3 Hf 0.120 0.750 0.450
Hf4 Hf 0.447 0.250 0.719
Hf5 Hf 0.553 0.750 0.281
Hf6 Hf 0.880 0.250 0.550
Hg1 Hg 0.580 0.250 0.125
Hg2 Hg 0.420 0.750 0.875
Zn1 Zn 0.264 0.250 0.345
Zn2 Zn 0.736 0.750 0.655
```

Output
Calculated volume = 20.752 A^3/atom
Energy of formation from the pure elements = 0.09 eV/atom
Space group = P2_1/m
Mass density = 12.83 g cm⁻³
Raw total energy = -31.0 eV/f.u.
Offset from the most stable computed form = 0 meV/atom

VASP calculation (GGA-PBE) on crystalline Hf2ZnHg at its relaxed geometry.

Cell and atoms, written as CIF:
```
data_Hf2ZnHg
_chemical_formula_sum 'Hf2 Zn1 Hg1'
_cell_length_a 6.559
_cell_length_b 6.559
_cell_length_c 6.559
_cell_angle_alpha 53.87
_cell_angle_beta 153.38
_cell_angle_gamma 134.08
_space_group_name_H-M_alt 'P 1'
_space_group_IT_number 1
_space_group_name_Hall 'P 1'
loop_
_atom_site_label
_atom_site_type_symbol
_atom_site_fract_x
_atom_site_fract_y
_atom_site_fract_z
Hg1 Hg 0.000 0.500 0.500
Hf1 Hf 0.000 0.243 0.243
Hf2 Hf 0.000 0.757 0.757
Zn1 Zn 0.000 0.000 0.000
```

Output
Calculated volume = 22.595 A^3/atom
Energy of formation from the pure elements = 0.51 eV/atom
Space group = Immm
Mass density = 11.45 g cm⁻³
Raw total energy = -19.4 eV/f.u.
Offset from the most stable computed form = 595 meV/atom

VASP calculation (GGA-PBE) on crystalline Hf2ZnHg at its relaxed geometry.

Cell and atoms, written as CIF:
```
data_Hf2ZnHg
_chemical_formula_sum 'Hf2 Zn1 Hg1'
_cell_length_a 4.817
_cell_length_b 4.817
_cell_length_c 4.817
_cell_angle_alpha 60.00
_cell_angle_beta 60.00
_cell_angle_gamma 60.00
_space_group_name_H-M_alt 'P 1'
_space_group_IT_number 1
_space_group_name_Hall 'P 1'
loop_
_atom_site_label
_atom_site_type_symbol
_atom_site_fract_x
_atom_site_fract_y
_atom_site_fract_z
Hg1 Hg 0.500 0.500 0.500
Zn1 Zn 0.000 0.000 0.000
Hf1 Hf 0.750 0.750 0.750
Hf2 Hf 0.250 0.250 0.250
```

Output
Calculated volume = 19.759 A^3/atom
Energy of formation from the pure elements = -0.05 eV/atom
Space group = Fm-3m
Mass density = 13.09 g cm⁻³
Raw total energy = -21.7 eV/f.u.
Offset from the most stable computed form = 32 meV/atom

VASP calculation (GGA-PBE) on crystalline Hf2ZnHg at its relaxed geometry.

Cell and atoms, written as CIF:
```
data_Hf2ZnHg
_chemical_formula_sum 'Hf2 Zn1 Hg1'
_cell_length_a 3.371
_cell_length_b 3.371
_cell_length_c 6.917
_cell_angle_alpha 90.00
_cell_angle_beta 90.00
_cell_angle_gamma 90.00
_space_group_name_H-M_alt 'P 1'
_space_group_IT_number 1
_space_group_name_Hall 'P 1'
loop_
_atom_site_label
_atom_site_type_symbol
_atom_site_fract_x
_atom_site_fract_y
_atom_site_fract_z
Hg1 Hg 0.500 0.500 0.500
Zn1 Zn 0.500 0.500 0.000
Hf1 Hf 0.000 0.000 0.234
Hf2 Hf 0.000 0.000 0.766
```

Output
Calculated volume = 19.650 A^3/atom
Energy of formation from the pure elements = -0.08 eV/atom
Space group = P4/mmm
Mass density = 13.16 g cm⁻³
Raw total energy = -21.8 eV/f.u.
Offset from the most stable computed form = 1 meV/atom